Entry 1:
LaPm6Sn4 PBE relaxed; symmetry = I-42m, No. 121; crystal system = tetragonal; VASP energy = -4.883 eV/atom; energy of formation from the pure elements = -388 meV/atom
1.0
-4.746 -0.766 -6.733
7.880 -2.522 -0.027
-1.233 -4.763 6.651
La Sn Pm
1 4 6
Direct
0.000 0.000 0.000
0.000 0.625 0.183
0.442 0.817 0.817
0.000 0.183 0.625
0.558 0.375 0.375
0.500 0.500 0.000
0.500 0.000 0.500
0.000 0.512 0.828
0.684 0.172 0.172
0.000 0.828 0.512
0.316 0.488 0.488

---

Entry 2:
LaPm4Sn3 PBE relaxed; symmetry = C2/m, No. 12; crystal system = monoclinic; VASP energy = -5.080 eV/atom; energy of formation from the pure elements = -588 meV/atom
1.0
4.985 0.000 0.000
0.000 8.567 2.388
-2.492 -2.946 5.127
La Pm Sn
1 4 3
Direct
0.000 0.000 0.000
0.144 0.453 0.287
0.856 0.547 0.713
0.333 0.166 0.666
0.667 0.834 0.334
0.660 0.207 0.319
0.500 0.500 0.000
0.340 0.793 0.681

---

Entry 3:
LaPm8Sn2 PBE relaxed; symmetry = C2/m, No. 12; crystal system = monoclinic; VASP energy = -4.822 eV/atom; energy of formation from the pure elements = -191 meV/atom
1.0
-0.523 5.315 3.705
-3.254 -5.588 6.207
3.584 -5.087 6.452
Pm La Sn
8 1 2
Direct
0.901 0.585 0.585
0.586 0.641 0.157
0.099 0.415 0.415
0.827 0.217 0.217
0.586 0.157 0.641
0.414 0.359 0.843
0.173 0.783 0.783
0.414 0.843 0.359
0.000 0.000 0.000
0.322 0.254 0.254
0.678 0.746 0.746

---

Entry 4:
LaPm3Sn2 PBE relaxed; symmetry = P-4m2, No. 115; ΔE to the lowest computed polymorph = 0 meV per atom; crystal system = tetragonal; VASP energy = -5.102 eV/atom; energy of formation from the pure elements = -572 meV/atom
1.0
4.640 0.000 0.000
0.000 4.640 0.000
0.000 0.000 8.867
Pm Sn La
3 2 1
Direct
0.000 0.500 0.647
0.500 0.000 0.353
0.000 0.000 0.000
0.000 0.500 0.282
0.500 0.000 0.718
0.500 0.500 0.000

---

Entry 5:
LaPm5Sn8 PBE relaxed; symmetry = I-4, No. 82; crystal system = tetragonal; VASP energy = -4.915 eV/atom; energy of formation from the pure elements = -579 meV/atom
1.0
-0.413 -1.964 8.007
-1.936 -6.289 -4.984
7.829 2.489 -0.812
La Pm Sn
1 5 8
Direct
0.250 0.500 0.750
0.996 0.423 0.145
0.722 0.577 0.573
0.855 0.851 0.278
0.500 0.000 0.500
0.427 0.149 0.004
0.114 0.777 0.037
0.663 0.923 0.886
0.260 0.223 0.337
0.777 0.204 0.333
0.667 0.444 0.871
0.963 0.077 0.740
0.129 0.796 0.573
0.427 0.556 0.223

---

Entry 6:
La2PmSn PBE relaxed; symmetry = Fm-3m, No. 225; ΔE to the lowest computed polymorph = 199 meV per atom; crystal system = cubic; VASP energy = -4.930 eV/atom; energy of formation from the pure elements = -278 meV/atom
1.0
-4.515 -3.289 0.886
0.256 -5.529 -1.165
0.036 -3.778 4.209
La Pm Sn
2 1 1
Direct
0.750 0.750 0.750
0.250 0.250 0.250
0.000 0.000 0.000
0.500 0.500 0.500

---

Entry 7:
La3Pm2Sn PBE relaxed; symmetry = Pmc2_1, No. 26; crystal system = orthorhombic; VASP energy = -4.957 eV/atom; energy of formation from the pure elements = -243 meV/atom
1.0
5.669 0.000 0.000
0.000 6.668 0.000
0.000 0.000 10.714
Pm La Sn
4 6 2
Direct
0.000 0.453 0.797
0.500 0.093 0.401
0.000 0.953 0.203
0.500 0.593 0.599
0.500 0.696 0.955
0.500 0.083 0.736
0.500 0.196 0.045
0.000 0.909 0.569
0.000 0.409 0.431
0.500 0.583 0.264
0.000 0.968 0.891
0.000 0.468 0.109

---

Entry 8:
La3PmSn12 PBE relaxed; symmetry = P4/mmm, No. 123; crystal system = tetragonal; VASP energy = -4.782 eV/atom; energy of formation from the pure elements = -559 meV/atom
1.0
4.796 0.000 0.000
0.000 4.796 0.000
0.000 0.000 19.147
Sn La Pm
12 3 1
Direct
0.000 0.500 0.877
0.500 0.500 0.000
0.000 0.500 0.374
0.500 0.500 0.248
0.000 0.500 0.123
0.500 0.000 0.374
0.000 0.500 0.626
0.500 0.000 0.123
0.500 0.500 0.752
0.500 0.000 0.626
0.500 0.500 0.500
0.500 0.000 0.877
0.000 0.000 0.751
0.000 0.000 0.249
0.000 0.000 0.500
0.000 0.000 0.000

---

Entry 9:
La2PmSn PBE relaxed; symmetry = P4/mmm, No. 123; ΔE to the lowest computed polymorph = 92 meV per atom; crystal system = tetragonal; VASP energy = -5.036 eV/atom; energy of formation from the pure elements = -384 meV/atom
1.0
4.333 0.000 0.000
0.000 4.333 0.000
0.000 0.000 7.017
La Pm Sn
2 1 1
Direct
0.000 0.000 0.277
0.000 0.000 0.723
0.500 0.500 0.000
0.500 0.500 0.500

---

Entry 10:
La6PmSn2 PBE relaxed; symmetry = C2/m, No. 12; crystal system = monoclinic; VASP energy = -4.828 eV/atom; energy of formation from the pure elements = -126 meV/atom
1.0
-4.755 -0.563 -3.149
-1.261 -6.942 3.114
-4.201 -0.669 6.433
La Sn Pm
6 2 1
Direct
0.736 0.615 0.193
0.736 0.193 0.615
0.262 0.806 0.806
0.738 0.194 0.194
0.264 0.807 0.385
0.264 0.385 0.807
0.233 0.333 0.333
0.767 0.667 0.667
0.000 0.000 0.000